(1)
Here is an optimized crystal structure of Dy2ErTm4 from Alexandria via LeMat-Bulk. Energies are from PBE.

Values from the calculation:
Energy (eV per cell): -31.6
Magnetic moment (μB per formula unit): 0.02
Distance to the lowest polymorph of the same formula (eV/atom): 0.000
Energy relative to the elements (eV/atom): 0.001

abc: 3.5550 3.5551 19.6366
angles: 95.18 90.00 120.00
Closest atoms and distances in Å follow each position.
Element x y z (fractional)
Er: 0.8094 0.6188 0.6680  6 Tm 3.45, 6 Er 3.55-3.56
Tm: 0.9049 0.8098 0.9509  9 Tm 3.43-3.56, 3 Dy 3.47
Tm: 0.4287 0.8573 0.5258  3 Er 3.45, 3 Dy 3.48, 6 Tm 3.55-3.56
Tm: 0.0004 0.0009 0.2377  6 Dy 3.47-3.48, 6 Tm 3.55-3.56
Tm: 0.5238 0.0477 0.8099  9 Tm 3.43-3.56, 3 Er 3.45
Dy: 0.6198 0.2395 0.0941  6 Tm 3.47-3.48, 6 Dy 3.55-3.56
Dy: 0.7144 0.4288 0.3817  6 Tm 3.48, 6 Dy 3.55-3.56

***

(2)
Here is an optimized crystal structure of Ba2CaAl from Alexandria via LeMat-Bulk. Energies are from PBE.

Values from the calculation:
Energy (eV per cell): -9.4
Magnetic moment (μB per formula unit): 0.00
Energy relative to the elements (eV/atom): 0.056

abc: 5.5631 4.2893 7.6059
angles: 73.68 90.00 90.00
Closest atoms and distances in Å follow each position.
Element x y z (fractional)
Ca: 0.0000 0.6760 0.5209  2 Al 3.22
Ba: 0.0000 0.9677 0.9417  2 Ca 3.74-3.75, 4 Al 3.80
Ba: 0.5000 0.2886 0.2956  4 Ca 3.88, 3 Al 3.90-4.04, 2 Ba 4.29
Al: 0.5000 0.5677 0.7419  2 Ca 3.22

***

What did the second record say?
Here is an optimized crystal structure of Ba2CaAl from Alexandria via LeMat-Bulk. Energies are from PBE.

Values from the calculation:
Energy (eV per cell): -9.4
Magnetic moment (μB per formula unit): 0.00
Energy relative to the elements (eV/atom): 0.056

abc: 5.5631 4.2893 7.6059
angles: 73.68 90.00 90.00
Closest atoms and distances in Å follow each position.
Element x y z (fractional)
Ca: 0.0000 0.6760 0.5209  2 Al 3.22
Ba: 0.0000 0.9677 0.9417  2 Ca 3.74-3.75, 4 Al 3.80
Ba: 0.5000 0.2886 0.2956  4 Ca 3.88, 3 Al 3.90-4.04, 2 Ba 4.29
Al: 0.5000 0.5677 0.7419  2 Ca 3.22

***

The highest energy belongs to which entry?
Ba2CaAl